# 1
VASP calculation (GGA-PBE) on a relaxed structure of ThIn2Cu.

Final energy, eV/atom: -3.990
DOS at the Fermi energy, states/eV per atom: 0.50

Cell: 3.3244 3.3244 10.9166 Å, 81.24 81.24 60.00°
Closest atoms and distances in Å follow each position.
Fractional coordinates of all 4 atoms:
In 0.8966 0.8966 0.3102  3 Cu 2.80
In 0.1034 0.1034 0.6898  3 Cu 2.80
Cu 0.5000 0.5000 0.5000  6 In 2.80
Th 0.0000 0.0000 0.0000  6 Th 3.32, 2 In 3.33

=====

# 2
VASP calculation (GGA-PBE) on a relaxed structure of ThIn3Cu8.

Excess energy over the best structure of this formula in the dataset, meV per atom: 0.0
Final energy, eV/atom: -4.121
DOS at the Fermi energy, states/eV per atom: 0.27

Cell: 5.1106 5.1106 9.0914 Å, 73.68 73.68 60.00°
Closest atoms and distances in Å follow each position.
Fractional coordinates of all 12 atoms:
Cu 0.9364 0.9364 0.6934  6 Cu 2.54-2.63
Cu 0.4402 0.9426 0.1769  6 Cu 2.54-2.70
Cu 0.4402 0.4402 0.1769  6 Cu 2.54-2.70
Cu 0.1867 0.1867 0.4400  6 Cu 2.63-2.70
Cu 0.9364 0.4337 0.6934  6 Cu 2.54-2.63
Cu 0.6881 0.6881 0.9356  6 Cu 2.55-2.56
Cu 0.4337 0.9364 0.6934  6 Cu 2.54-2.63
Cu 0.9426 0.4402 0.1769  6 Cu 2.54-2.70
In 0.3744 0.3744 0.8769  12 Cu 2.97-3.00, 4 In 3.04-3.11
In 0.4921 0.4921 0.5237  9 Cu 2.94-3.04, 1 In 3.04, 3 Th 3.23
In 0.0031 0.0031 0.9908  12 Cu 2.95-3.02, 3 In 3.11, 1 Th 3.28
Th 0.8759 0.8759 0.3722  12 Cu 3.01-3.14, 4 In 3.23-3.28

=====

# 3
VASP calculation (GGA-PBE) on a relaxed structure of Th4In5Cu2.

Final energy, eV/atom: -4.952
DOS at the Fermi energy, states/eV per atom: 0.61

Cell: 3.3950 8.1332 10.2300 Å, 94.25 90.00 90.00°
Closest atoms and distances in Å follow each position.
Fractional coordinates of all 11 atoms:
Th 0.5000 0.2472 0.4519  4 Cu 3.02-3.03, 2 In 3.37
Th 0.5000 0.1623 0.8651  2 Cu 3.03, 2 In 3.36, 2 Th 3.40
Th 0.5000 0.7528 0.5481  4 Cu 3.02-3.03, 2 In 3.37
Th 0.5000 0.8377 0.1349  2 Cu 3.03, 2 In 3.36, 2 Th 3.40
In 0.0000 0.8055 0.8384  1 Cu 3.03, 2 In 3.09-3.14, 2 Th 3.36
In 0.0000 0.5519 0.3006  4 In 3.07-3.40, 1 Cu 3.26, 4 Th 3.37-3.43
In 0.0000 0.5000 0.0000  6 In 3.07-3.40, 4 Th 3.43
In 0.0000 0.4481 0.6994  4 In 3.07-3.40, 1 Cu 3.26, 4 Th 3.37-3.43
In 0.0000 0.1945 0.1616  1 Cu 3.03, 2 In 3.09-3.14, 2 Th 3.36
Cu 0.0000 0.0503 0.6293  1 Cu 2.71, 6 Th 3.02-3.03, 1 In 3.03
Cu 0.0000 0.9497 0.3707  1 Cu 2.71, 6 Th 3.02-3.03, 1 In 3.03

=====

# 4
VASP calculation (GGA-PBE) on a relaxed structure of Th2In3Cu.

Final energy, eV/atom: -4.785
DOS at the Fermi energy, states/eV per atom: 0.52

Cell: 3.7090 4.8640 8.4408 Å, 90.00 90.00 90.00°
Closest atoms and distances in Å follow each position.
Fractional coordinates of all 6 atoms:
Cu 0.5000 0.5000 0.3289  3 In 2.71-2.74
In 0.5000 0.5000 0.6503  1 Cu 2.71, 2 In 2.89
In 0.5000 0.0000 0.1790  2 Cu 2.74, 1 In 2.90
In 0.5000 0.0000 0.8350  3 In 2.89-2.90
Th 0.0000 0.5000 0.0158  2 Cu 3.23, 10 In 3.35-3.60
Th 0.0000 0.0000 0.4910  8 In 3.22-3.45, 4 Cu 3.35

=====

# 5
VASP calculation (GGA-PBE) on a relaxed structure of TmThInCu.

Final energy, eV/atom: -4.843
DOS at the Fermi energy, states/eV per atom: 1.32

Cell: 5.2202 5.2202 5.2202 Å, 60.00 60.00 60.00°
Closest atoms and distances in Å follow each position.
Fractional coordinates of all 4 atoms:
Tm 0.5000 0.5000 0.5000  4 In 3.20, 4 Cu 3.20
Th 0.0000 0.0000 0.0000  4 In 3.20, 4 Cu 3.20
In 0.7500 0.7500 0.7500  4 Tm 3.20, 4 Th 3.20
Cu 0.2500 0.2500 0.2500  4 Th 3.20, 4 Tm 3.20

=====

# 6
VASP calculation (GGA-PBE) on a relaxed structure of YThInCu.

Final energy, eV/atom: -5.353
DOS at the Fermi energy, states/eV per atom: 1.39

Cell: 5.2552 5.2552 5.2552 Å, 60.00 60.00 60.00°
Closest atoms and distances in Å follow each position.
Fractional coordinates of all 4 atoms:
Th 0.2500 0.2500 0.2500  4 In 3.22, 4 Cu 3.22
In 0.5000 0.5000 0.5000  4 Th 3.22, 4 Y 3.22
Cu 0.0000 0.0000 0.0000  4 Th 3.22, 4 Y 3.22
Y 0.7500 0.7500 0.7500  4 In 3.22, 4 Cu 3.22

=====

# 7
VASP calculation (GGA-PBE) on a relaxed structure of ThZrInCu.

Final energy, eV/atom: -5.735
DOS at the Fermi energy, states/eV per atom: 0.52

Cell: 5.1075 5.1075 5.1075 Å, 60.00 60.00 60.00°
Closest atoms and distances in Å follow each position.
Fractional coordinates of all 4 atoms:
In 0.7500 0.7500 0.7500  4 Zr 3.13, 4 Th 3.13
Th 0.5000 0.5000 0.5000  4 In 3.13, 4 Cu 3.13
Zr 0.0000 0.0000 0.0000  4 Cu 3.13, 4 In 3.13
Cu 0.2500 0.2500 0.2500  4 Th 3.13, 4 Zr 3.13

=====

# 8
VASP calculation (GGA-PBE) on a relaxed structure of TiIn2Cu.

Final energy, eV/atom: -4.289
DOS at the Fermi energy, states/eV per atom: 0.47

Cell: 3.1008 3.1008 9.3043 Å, 80.41 80.41 60.00°
Closest atoms and distances in Å follow each position.
Fractional coordinates of all 4 atoms:
In 0.0784 0.0784 0.7647  3 Cu 2.80, 3 Ti 3.02, 6 In 3.10
In 0.2546 0.2546 0.2361  3 Cu 2.79, 3 Ti 2.99, 6 In 3.10
Cu 0.6663 0.6663 0.0010  6 In 2.79-2.80, 6 Cu 3.10
Ti 0.5006 0.5006 0.4982  6 In 2.99-3.02, 6 Ti 3.10

=====

# 9
VASP calculation (GGA-PBE) on a relaxed structure of TiInCu2.

Final energy, eV/atom: -4.357
DOS at the Fermi energy, states/eV per atom: 1.30

Cell: 7.0449 7.0449 5.7192 Å, 51.98 51.98 90.00°
Closest atoms and distances in Å follow each position.
Fractional coordinates of all 8 atoms:
In 0.0000 0.0000 0.0000  4 Cu 2.64, 2 Ti 2.81
In 0.7500 0.2500 0.5000  4 Cu 2.64, 2 Ti 2.81
Cu 0.8750 0.8637 0.7500  2 Ti 2.53, 2 In 2.64, 2 Cu 2.81
Cu 0.1363 0.6250 0.2500  2 Ti 2.53, 2 In 2.64, 2 Cu 2.81
Cu 0.3750 0.3863 0.7500  2 Ti 2.53, 2 In 2.64, 2 Cu 2.81
Cu 0.6137 0.1250 0.2500  2 Ti 2.53, 2 In 2.64, 2 Cu 2.81
Ti 0.2500 0.7500 0.5000  4 Cu 2.53, 2 In 2.81
Ti 0.5000 0.5000 0.0000  4 Cu 2.53, 2 In 2.81

=====

# 10
VASP calculation (GGA-PBE) on a relaxed structure of Ti2InCu2.

Final energy, eV/atom: -5.046
DOS at the Fermi energy, states/eV per atom: 1.37

Cell: 3.7730 3.7730 6.7298 Å, 73.72 73.72 90.00°
Closest atoms and distances in Å follow each position.
Fractional coordinates of all 5 atoms:
Ti 0.3960 0.3960 0.2079  1 Ti 2.57, 4 Cu 2.61
Ti 0.6040 0.6040 0.7921  1 Ti 2.57, 4 Cu 2.61
Cu 0.7500 0.2500 0.5000  4 Ti 2.61, 4 Cu 2.67
Cu 0.2500 0.7500 0.5000  4 Ti 2.61, 4 Cu 2.67
In 0.0000 0.0000 0.0000  8 Ti 2.96

=====

# 11
VASP calculation (GGA-PBE) on a relaxed structure of Ti7InCu2.

Final energy, eV/atom: -6.098
DOS at the Fermi energy, states/eV per atom: 1.64

Cell: 4.3471 7.3307 7.3307 Å, 120.75 90.00 90.00°
Closest atoms and distances in Å follow each position.
Fractional coordinates of all 10 atoms:
Ti 0.0000 0.2346 0.7654  2 Cu 2.35
Ti 0.0000 0.7654 0.2346  2 Cu 2.35
Ti 0.5000 0.3018 0.0644  2 Cu 2.50-2.72, 2 Ti 2.65-2.75
Ti 0.5000 0.9356 0.6982  2 Cu 2.50-2.72, 2 Ti 2.65-2.75
Ti 0.5000 0.5000 0.5000  2 Cu 2.49, 4 Ti 2.75
Ti 0.5000 0.6982 0.9356  2 Cu 2.50-2.72, 2 Ti 2.65-2.75
Ti 0.5000 0.0644 0.3018  2 Cu 2.50-2.72, 2 Ti 2.65-2.75
Cu 0.5000 0.6953 0.3047  5 Ti 2.35-2.50
Cu 0.5000 0.3047 0.6953  5 Ti 2.35-2.50
In 0.0000 0.0000 0.0000  10 Ti 2.96-2.99

=====

# 12
VASP calculation (GGA-PBE) on a relaxed structure of Ti5In4Cu2.

Final energy, eV/atom: -5.306
DOS at the Fermi energy, states/eV per atom: 1.04

Cell: 2.9430 7.4132 9.1702 Å, 95.53 90.00 90.00°
Closest atoms and distances in Å follow each position.
Fractional coordinates of all 11 atoms:
Ti 0.0000 0.8178 0.8513  4 Ti 2.83-2.94, 1 Cu 2.87, 6 In 2.97-3.08
Ti 0.0000 0.5000 0.0000  6 Ti 2.79-2.94, 4 In 2.93
Ti 0.0000 0.1822 0.1487  4 Ti 2.83-2.94, 1 Cu 2.87, 6 In 2.97-3.08
Ti 0.0000 0.5383 0.3062  4 Ti 2.79-2.94, 1 Cu 2.91, 6 In 2.94-3.09
Ti 0.0000 0.4617 0.6938  4 Ti 2.79-2.94, 1 Cu 2.91, 6 In 2.94-3.09
Cu 0.0000 0.0687 0.6324  1 Cu 2.54, 6 In 2.68-2.81
Cu 0.0000 0.9313 0.3676  1 Cu 2.54, 6 In 2.68-2.81
In 0.5000 0.2502 0.4373  4 Cu 2.76-2.81, 2 In 2.94, 6 Ti 2.94-3.07
In 0.5000 0.8151 0.1328  2 Cu 2.68, 4 Ti 2.93-2.97, 2 In 2.94
In 0.5000 0.1849 0.8672  2 Cu 2.68, 4 Ti 2.93-2.97, 2 In 2.94
In 0.5000 0.7498 0.5627  4 Cu 2.76-2.81, 2 In 2.94, 6 Ti 2.94-3.07

=====

Number 1: energy relative to the elements 0.2587 eV per atom. Number 2: energy relative to the elements -0.0875 eV per atom. Number 3: energy relative to the elements -0.2648 eV per atom. Number 4: energy relative to the elements -0.2601 eV per atom. Number 5: energy relative to the elements -0.1617 eV per atom. Number 6: energy relative to the elements -0.1735 eV per atom. Number 7: energy relative to the elements -0.0340 eV per atom. Number 8: energy relative to the elements 0.0775 eV per atom. Number 9: energy relative to the elements 0.3498 eV per atom. Number 10: energy relative to the elements 0.2978 eV per atom. Number 11: energy relative to the elements 0.5217 eV per atom. Number 12: energy relative to the elements 0.0236 eV per atom.